(1)
Density functional theory data (PBEsol) for crystalline As2PPbBr at its relaxed geometry.

POSCAR file:
```
As2PPbBr
1.0
4.797 0.000 0.000
0.000 4.797 0.000
0.000 0.000 5.098
As P Pb Br
2 1 1 1
direct
0.000 0.500 0.000
0.500 0.000 0.000
0.000 0.000 0.000
0.500 0.500 0.500
0.000 0.000 0.500
```

Energy relative to the elements, uncorrected ... 1.72 eV/f.u.
Space-group type ... P4/mmm
Total energy ... -20.2 eV per cell
Volume ... 117 Å³ per cell


(2)
Density functional theory data (PBEsol) for crystalline AsPSeBr2 at its relaxed geometry.

POSCAR file:
```
AsPSeBr2
1.0
5.075 0.000 0.000
0.000 5.075 0.000
0.000 0.000 5.281
As P Se Br
1 1 1 2
direct
0.000 0.000 0.000
0.500 0.500 0.000
0.000 0.000 0.500
0.000 0.500 0.500
0.500 0.000 0.500
```

Energy relative to the elements, uncorrected ... 4.52 eV/f.u.
Space-group type ... P4/mmm
Total energy ... -14.0 eV per cell
Volume ... 136 Å³ per cell


(3)
Density functional theory data (PBEsol) for crystalline As2PSeBr at its relaxed geometry.

POSCAR file:
```
As2PSeBr
1.0
4.866 0.000 0.000
0.000 4.866 0.000
0.000 0.000 4.682
As P Se Br
2 1 1 1
direct
0.000 0.500 0.000
0.500 0.000 0.000
0.000 0.000 0.000
0.500 0.500 0.500
0.000 0.000 0.500
```

Energy relative to the elements, uncorrected ... 3.34 eV/f.u.
Space-group type ... P4/mmm
Total energy ... -18.4 eV per cell
Volume ... 111 Å³ per cell


(4)
Density functional theory data (PBEsol) for crystalline ZnAsPBr2 at its relaxed geometry.

POSCAR file:
```
ZnAsPBr2
1.0
4.992 0.000 0.000
0.000 4.992 0.000
0.000 0.000 4.873
Zn As P Br
1 1 1 2
direct
0.000 0.000 0.000
0.500 0.500 0.000
0.500 0.500 0.500
0.000 0.500 0.500
0.500 0.000 0.500
```

Energy relative to the elements, uncorrected ... 2.22 eV/f.u.
Space-group type ... P4/mmm
Total energy ... -14.0 eV per cell
Volume ... 121 Å³ per cell


(5)
Density functional theory data (PBEsol) for crystalline AsPbBr2 at its relaxed geometry.

POSCAR file:
```
AsPbBr2
1.0
3.487 0.000 0.000
-1.744 3.020 0.000
0.000 0.000 30.170
As Pb Br
3 3 6
direct
0.000 0.000 0.000
0.333 0.667 0.667
0.667 0.333 0.333
0.000 0.000 0.500
0.333 0.667 0.167
0.667 0.333 0.833
0.000 0.000 0.085
0.000 0.000 0.915
0.333 0.667 0.582
0.333 0.667 0.751
0.667 0.333 0.249
0.667 0.333 0.418
```

Energy relative to the elements, uncorrected ... -0.36 eV/f.u.
Space-group type ... R-3m
Offset from the most stable computed form ... 0.001 eV/atom
Total energy ... -39.6 eV per cell
Volume ... 318 Å³ per cell


(6)
Density functional theory data (PBEsol) for crystalline AsPbBr2 at its relaxed geometry.

POSCAR file:
```
AsPbBr2
1.0
3.520 0.000 0.000
0.000 5.909 0.000
0.000 0.000 9.636
As Pb Br
2 2 4
direct
0.000 0.000 0.000
0.500 0.500 0.500
0.000 0.000 0.500
0.500 0.500 0.000
0.000 0.500 0.275
0.000 0.500 0.725
0.500 0.000 0.225
0.500 0.000 0.775
```

Energy relative to the elements, uncorrected ... -0.37 eV/f.u.
Space-group type ... Immm
Offset from the most stable computed form ... 0.000 eV/atom
Total energy ... -26.4 eV per cell
Volume ... 200 Å³ per cell


(7)
Density functional theory data (PBEsol) for crystalline As2PbBr at its relaxed geometry.

POSCAR file:
```
As2PbBr
1.0
3.385 0.000 0.000
-1.693 2.932 0.000
0.000 0.000 27.878
As Pb Br
6 3 3
direct
0.000 0.000 0.247
0.000 0.000 0.753
0.333 0.667 0.419
0.333 0.667 0.914
0.667 0.333 0.086
0.667 0.333 0.581
0.000 0.000 0.000
0.333 0.667 0.667
0.667 0.333 0.333
0.000 0.000 0.500
0.333 0.667 0.167
0.667 0.333 0.833
```

Energy relative to the elements, uncorrected ... 1.48 eV/f.u.
Space-group type ... R-3m
Offset from the most stable computed form ... 0.183 eV/atom
Total energy ... -43.8 eV per cell
Volume ... 277 Å³ per cell


(8)
Density functional theory data (PBEsol) for crystalline As4PbBr at its relaxed geometry.

POSCAR file:
```
As4PbBr
1.0
0.000 4.142 4.142
4.142 0.000 4.142
4.142 4.142 0.000
As Pb Br
4 1 1
direct
0.108 0.108 0.108
0.108 0.108 0.677
0.108 0.677 0.108
0.677 0.108 0.108
0.500 0.500 0.500
0.750 0.750 0.750
```

Energy relative to the elements, uncorrected ... 0.73 eV/f.u.
Space-group type ... F-43m
Total energy ... -25.6 eV per cell
Volume ... 142 Å³ per cell